Entry from Alexandria via LeMat-Bulk: a PBEsol-optimized structure of YCu2Mo (meta-GGA SCAN).

a = 3.234 Å, b = 3.234 Å, c = 6.227 Å
α = 90.00°, β = 90.00°, γ = 90.00°
Fractional positions:
Cu1 0.000 0.000 0.796
Cu2 0.000 0.000 0.204
Mo1 0.500 0.500 0.000
Y1 0.500 0.500 0.500

The symmetry is P4/mmm. As for the theoretical density: 8.0 g/cm3. As for the density of states at the Fermi level: 2.73 states/eV/cell. The offset from the most stable computed form comes out at 0 meV per atom.

***

Entry from Alexandria via LeMat-Bulk: a PBEsol-optimized structure of YCuMo2 (meta-GGA SCAN).

a = 3.400 Å, b = 4.693 Å, c = 5.085 Å
α = 108.29°, β = 90.00°, γ = 111.24°
Fractional positions:
Cu1 0.268 0.535 0.808
Mo1 0.005 0.010 0.000
Mo2 0.724 0.448 0.182
Y1 0.503 0.007 0.509

The symmetry is Cm. As for the theoretical density: 8.0 g/cm3. As for the density of states at the Fermi level: 2.47 states/eV/cell. The offset from the most stable computed form comes out at 65 meV per atom.

***

| no. | energy of formation from the pure elements (kJ/mol of formula units) |
| --- | --- |
| 1 | 87.7 |
| 2 | 145.2 |